Density functional theory data (GGA-PBE) for a relaxed HfAl crystal.

a b c (Å): 4.4348 4.4348 4.4348
angles (deg): 60.00 60.00 60.00
With the nearest neighbours (Å) after each atom.
Sites, in units of the cell vectors:
Hf 0.0000 0.0000 0.0000  4 Al 2.72
Al 0.2500 0.2500 0.2500  4 Hf 2.72

Summary:
Its electronic total energy is -5.367 eV per atom. Its volume is 30.84 A^3/atom. The formation energy is 1.48 eV per atom.